i) Sr2TlIn2 PBE optimized geometry; volume = 34.4 Å³ per atom; symmetry = P4/mbm (127)
1.0
8.761 0.000 0.000
0.000 8.761 0.000
0.000 0.000 4.480
Sr Tl In
4 2 4
direct
0.176 0.324 0.000
0.324 0.824 0.000
0.676 0.176 0.000
0.824 0.676 0.000
0.000 0.000 0.500
0.500 0.500 0.500
0.122 0.622 0.500
0.378 0.122 0.500
0.622 0.878 0.500
0.878 0.378 0.500


ii) Sr2TlIn2 PBE optimized geometry; volume = 33.1 Å³ per atom; symmetry = C2/m (12)
1.0
6.222 -2.614 0.000
6.222 2.614 0.000
-4.053 0.000 10.161
Sr Tl In
4 2 4
direct
0.099 0.099 0.383
0.165 0.165 0.053
0.835 0.835 0.947
0.901 0.901 0.617
0.223 0.223 0.744
0.777 0.777 0.256
0.395 0.395 0.379
0.498 0.498 0.854
0.502 0.502 0.146
0.605 0.605 0.621


Decreasing stability: ii), i)